[1]
DFT (PBE) results for a relaxed structure of Li3PbO.

CIF file:
```
data_Li3PbO
_space_group_name_H-M_alt 'P 1'
_space_group_IT_number 1
_space_group_name_Hall 'P 1'
_cell_length_a 4.129
_cell_length_b 4.129
_cell_length_c 4.129
_cell_angle_alpha 90.00
_cell_angle_beta 90.00
_cell_angle_gamma 90.00
loop_
_atom_site_label
_atom_site_type_symbol
_atom_site_fract_x
_atom_site_fract_y
_atom_site_fract_z
Pb1 Pb 0.500 0.500 0.500
O1 O 0.000 0.000 0.000
Li1 Li 0.000 0.500 0.000
Li2 Li 0.000 0.000 0.500
Li3 Li 0.500 0.000 0.000
```

Results
Energy relative to the elements, uncorrected = -908 meV per atom
Symmetry = Pm-3m


[2]
DFT (PBE) results for a relaxed structure of LiSi2Ru.

CIF file:
```
data_LiSi2Ru
_space_group_name_H-M_alt 'P 1'
_space_group_IT_number 1
_space_group_name_Hall 'P 1'
_cell_length_a 3.670
_cell_length_b 3.670
_cell_length_c 3.705
_cell_angle_alpha 90.00
_cell_angle_beta 90.00
_cell_angle_gamma 90.00
loop_
_atom_site_label
_atom_site_type_symbol
_atom_site_fract_x
_atom_site_fract_y
_atom_site_fract_z
Li1 Li 0.500 0.000 0.500
Ru1 Ru 0.000 0.500 0.500
Si1 Si 0.000 0.000 0.000
Si2 Si 0.500 0.500 0.000
```

Results
Energy relative to the elements, uncorrected = -188 meV per atom
Symmetry = P4/mmm


[3]
DFT (PBE) results for a relaxed structure of CeTmZn.

CIF file:
```
data_CeTmZn
_space_group_name_H-M_alt 'P 1'
_space_group_IT_number 1
_space_group_name_Hall 'P 1'
_cell_length_a 3.409
_cell_length_b 5.053
_cell_length_c 8.582
_cell_angle_alpha 90.00
_cell_angle_beta 101.45
_cell_angle_gamma 90.00
loop_
_atom_site_label
_atom_site_type_symbol
_atom_site_fract_x
_atom_site_fract_y
_atom_site_fract_z
Zn1 Zn 0.431 0.250 0.861
Zn2 Zn 0.569 0.750 0.139
Tm1 Tm 0.922 0.750 0.844
Tm2 Tm 0.078 0.250 0.156
Ce1 Ce 0.773 0.250 0.546
Ce2 Ce 0.227 0.750 0.454
```

Results
ΔH_f (0 K) = -0.16 eV per atom
Symmetry = Cmcm


| no. | VASP energy (eV/atom) | energy above the most stable polymorph in this dataset (meV per atom) |
| --- | --- | --- |
| 1 | -3.79 | 0 |
| 2 | -5.70 | 160 |
| 3 | -4.06 | 0 |